K2CaLa: relaxed, GGA-PBEsol.

```
K2CaLa
1.0
3.8164 0.0000 0.0000
0.0000 3.8164 0.0000
0.0000 0.0000 13.3346
K La Ca
2 1 1
direct
0.0000 0.0000 0.9784
0.5000 0.5000 0.2740
0.0000 0.0000 0.5244
0.5000 0.5000 0.7231
```

Energy above the most stable polymorph in this dataset: 0 meV per atom

KCa3La: relaxed, GGA-PBEsol.

```
KCa3La
1.0
5.9723 0.0000 0.0000
0.0000 5.9723 0.0000
0.0000 0.0000 5.9723
Ca La K
3 1 1
direct
0.0000 0.0000 0.5000
0.0000 0.5000 0.0000
0.5000 0.0000 0.0000
0.5000 0.5000 0.5000
0.0000 0.0000 0.0000
```

Calculated values (eV per atom) of formation enthalpy at 0 K for the records, taken in order: 0.230; 0.793.